(1)
Entry from Alexandria via LeMat-Bulk: crystalline FeHgP2 at its relaxed geometry (PBE).

Properties
E_form, eV/atom: 0.67
ρ, g cm⁻³: 8.0
Crystal system: orthorhombic
Volume, Å³/atom: 16.55

abc: 4.4512 4.4512 3.4586
angles: 90.00 90.00 104.98
Site moments in Bohr magnetons follow the coordinates.
Fractional coordinates of all 4 atoms:
P 0.5000 0.5000 0.0000  -0.04
P 0.0000 0.0000 0.0000  -0.04
Fe 0.5000 0.0000 0.5000  2.70
Hg 0.0000 0.5000 0.5000  -0.03

(2)
Entry from Alexandria via LeMat-Bulk: crystalline FeHg2P at its relaxed geometry (PBE).

Properties
E_form, eV/atom: 0.27
ρ, g cm⁻³: 10.0
Crystal system: monoclinic
Volume, Å³/atom: 20.29

abc: 2.9155 4.5950 6.4781
angles: 69.27 90.00 90.00
Site moments in Bohr magnetons follow the coordinates.
Fractional coordinates of all 4 atoms:
P 0.0000 0.6638 0.5457  -0.06
Hg 0.5000 0.3090 0.2592  -0.02
Fe 0.5000 0.5325 0.8096  1.35
Hg 0.0000 0.9946 0.8855  -0.03

| no. | size of the total moment (μB per formula unit) | E (Ry per atom) |
| --- | --- | --- |
| 1 | 2.58 | -0.310 |
| 2 | 1.22 | -0.246 |